Sc3Zn3Cu | PBE | optimized geometry

E_tot, Ry per atom: -0.3039

abc: 3.276 4.325 18.113
angles: 90.00 90.00 90.00
Space group Imm2 (No. 44)
Symmetry-distinct sites (fractional):
Sc (0.000, 0.000, 0.000)
Sc (0.000, 0.000, 0.390)
Sc (0.000, 0.500, 0.203)
Zn (0.000, 0.000, 0.555)
Zn (0.000, 0.000, 0.839)
Zn (0.000, 0.500, 0.632)
Cu (0.000, 0.500, 0.766)

ScZn4Cu8 | PBE | optimized geometry

E_tot, Ry per atom: -0.2570

abc: 8.512 8.512 4.912
angles: 90.00 90.00 90.00
Space group I4/mmm (No. 139)
Symmetry-distinct sites (fractional):
Sc (0.000, 0.000, 0.000)
Zn (0.250, 0.250, 0.250)
Cu (0.000, 0.213, 0.500)
Cu (0.000, 0.353, 0.000)

ScZn3Cu | PBE | optimized geometry

E_tot, Ry per atom: -0.2250

abc: 5.014 5.201 6.612
angles: 90.00 111.36 90.00
Space group P2_1/m (No. 11)
Symmetry-distinct sites (fractional):
Sc (0.215, 0.250, 0.137)
Zn (0.208, 0.004, 0.690)
Zn (0.320, 0.750, 0.389)
Cu (0.372, 0.750, 0.037)

Sc2Zn15Cu2 | PBE | optimized geometry

E_tot, Ry per atom: -0.1664

abc: 8.7947 8.7947 13.0159
angles: 90.00 90.00 120.00
Space group R-3m (No. 166, hexagonal axes)
Symmetry-distinct sites (fractional):
Sc (0.0000, 0.0000, 0.1683)
Zn (0.0000, 0.2964, 0.5000)
Zn (0.0000, 0.5000, 0.0000)
Zn (0.0082, 0.5041, 0.6498)
Cu (0.0000, 0.0000, 0.3989)